1.
The following is a DFT calculation (PBE) of crystalline VSn3Pt at its relaxed geometry.

Cell lengths 5.2148, 5.2148, 5.2148 Å; angles 90.00, 90.00, 90.00 degrees
Sites, in units of the cell vectors:
V 0.0000 0.0000 0.0000
Sn 0.0000 0.5000 0.5000
Sn 0.5000 0.0000 0.5000
Sn 0.5000 0.5000 0.0000
Pt 0.5000 0.5000 0.5000

As for the final energy: -4.841 eV per atom. Its density is 7.051 g/cm3. The volume is 28.363 Å³/atom. The magnetic moment is 3.833 μB/f.u.

=====

2.
The following is a DFT calculation (PBE) of crystalline V2SnPt2 at its relaxed geometry.

Cell lengths 7.3058, 7.3058, 7.3058 Å; angles 152.18, 152.18, 39.75 degrees
Sites, in units of the cell vectors:
V 0.2500 0.7500 0.5000
V 0.7500 0.2500 0.5000
Sn 0.0000 0.0000 0.0000
Pt 0.3952 0.3952 0.0000
Pt 0.6048 0.6048 0.0000

As for the final energy: -7.024 eV per atom. Its density is 11.966 g/cm3. The volume is 16.952 Å³/atom. The magnetic moment is 0.000 μB/f.u.

=====

3.
The following is a DFT calculation (PBE) of crystalline VSnPt6 at its relaxed geometry.

Cell lengths 3.9784, 3.9784, 8.0411 Å; angles 90.00, 90.00, 90.00 degrees
Sites, in units of the cell vectors:
V 0.0000 0.0000 0.0000
Sn 0.0000 0.0000 0.5000
Pt 0.0000 0.5000 0.2364
Pt 0.0000 0.5000 0.7636
Pt 0.5000 0.0000 0.2364
Pt 0.5000 0.0000 0.7636
Pt 0.5000 0.5000 0.0000
Pt 0.5000 0.5000 0.5000

As for the final energy: -6.593 eV per atom. Its density is 17.485 g/cm3. The volume is 15.909 Å³/atom. The magnetic moment is 1.281 μB/f.u.

=====

4.
The following is a DFT calculation (PBE) of crystalline VSn3Pt at its relaxed geometry.

Cell lengths 5.0705, 5.0705, 5.0705 Å; angles 90.00, 90.00, 90.00 degrees
Sites, in units of the cell vectors:
V 0.0000 0.0000 0.0000
Sn 0.0000 0.0000 0.5000
Sn 0.0000 0.5000 0.0000
Sn 0.5000 0.0000 0.0000
Pt 0.5000 0.5000 0.5000

As for the final energy: -4.820 eV per atom. Its density is 7.670 g/cm3. The volume is 26.073 Å³/atom. The magnetic moment is 2.106 μB/f.u.

=====

Copy entry 1 word for word.
The following is a DFT calculation (PBE) of crystalline VSn3Pt at its relaxed geometry.

Cell lengths 5.2148, 5.2148, 5.2148 Å; angles 90.00, 90.00, 90.00 degrees
Sites, in units of the cell vectors:
V 0.0000 0.0000 0.0000
Sn 0.0000 0.5000 0.5000
Sn 0.5000 0.0000 0.5000
Sn 0.5000 0.5000 0.0000
Pt 0.5000 0.5000 0.5000

As for the final energy: -4.841 eV per atom. Its density is 7.051 g/cm3. The volume is 28.363 Å³/atom. The magnetic moment is 3.833 μB/f.u.